[1]
Crystalline ScFe at its relaxed geometry, computed with GGA-PBE.

Computed properties:
Energy of formation in kJ/mol of atoms: 13.0
Total DFT energy (no corrections) in eV per cell: -58.103
ρ in g/cm³: 5.06
Spin magnetization in μB per formula unit: 1.4

abc: 5.0968 5.0968 5.0968
angles: 90.00 90.00 90.00
Site moments in Bohr magnetons follow the coordinates.
Element x y z (fractional)
Sc  0.0935  0.0935  0.0935  -0.36
Sc  0.4065  0.9065  0.5935  -0.36
Sc  0.9065  0.5935  0.4065  -0.36
Sc  0.5935  0.4065  0.9065  -0.36
Fe  0.3986  0.3986  0.3986  1.91
Fe  0.1014  0.6014  0.8986  1.91
Fe  0.6014  0.8986  0.1014  1.91
Fe  0.8986  0.1014  0.6014  1.91

[2]
Crystalline KBaW2 at its relaxed geometry, computed with GGA-PBE.

Computed properties:
Energy of formation in kJ/mol of atoms: 163.7
Total DFT energy (no corrections) in eV per cell: -22.138
ρ in g/cm³: 9.60
Distance to the lowest polymorph of the same formula in eV per atom: 0.802
Spin magnetization in μB per formula unit: 0.0

abc: 6.6001 6.6001 6.6001
angles: 148.09 141.53 50.82
Element x y z (fractional)
Ba  0.7500  0.2500  0.5000
K  0.2500  0.7500  0.5000
W  0.0003  0.0003  0.0000
W  0.4997  0.4997  0.0000

[3]
Crystalline CaHgRh2 at its relaxed geometry, computed with GGA-PBE.

Computed properties:
Energy of formation in kJ/mol of atoms: -6.0
Total DFT energy (no corrections) in eV per cell: -17.253
ρ in g/cm³: 9.71
Spin magnetization in μB per formula unit: 0.0

abc: 4.5080 3.1667 5.5787
angles: 73.56 90.00 90.00
Element x y z (fractional)
Ca  0.0000  0.4580  0.4602
Rh  0.0000  0.1875  0.9992
Rh  0.5000  0.0647  0.2459
Hg  0.5000  0.7899  0.7947

[4]
Crystalline Th3TlPd at its relaxed geometry, computed with GGA-PBE.

Computed properties:
Energy of formation in kJ/mol of atoms: -22.9
Total DFT energy (no corrections) in eV per cell: -62.011
ρ in g/cm³: 11.57
Spin magnetization in μB per formula unit: 0.0

abc: 4.3066 9.8056 7.0140
angles: 90.00 90.00 102.64
Element x y z (fractional)
Th  0.0988  0.6987  0.5053
Th  0.9012  0.3013  0.4947
Th  0.0988  0.6987  0.9947
Th  0.9012  0.3013  0.0053
Th  0.2739  0.0481  0.7500
Th  0.7261  0.9519  0.2500
Tl  0.4964  0.4933  0.7500
Tl  0.5036  0.5067  0.2500
Pd  0.6698  0.8407  0.7500
Pd  0.3302  0.1593  0.2500

[5]
Crystalline LiLaCl2 at its relaxed geometry, computed with GGA-PBE.

Computed properties:
E_form (uncorrected) in eV/atom: -1.526
Total DFT energy (no corrections) in eV per cell: -16.639
ρ in g/cm³: 3.31
Distance to the lowest polymorph of the same formula in eV per atom: 0.144
Spin magnetization in μB per formula unit: 0.0

abc: 8.6076 8.6076 8.6076
angles: 26.09 26.09 26.09
Element x y z (fractional)
Cl  0.8884  0.8884  0.8884
Cl  0.1116  0.1116  0.1116
Li  0.5000  0.5000  0.5000
La  0.0000  0.0000  0.0000

[6]
Crystalline TbTm3Th2Bi6 at its relaxed geometry, computed with GGA-PBE.

Computed properties:
Energy of formation in kJ/mol of atoms: -69.9
Total DFT energy (no corrections) in eV per cell: -64.865
ρ in g/cm³: 10.24
Spin magnetization in μB per formula unit: 0.0

abc: 4.5085 8.9838 10.0498
angles: 102.72 102.96 90.00
Element x y z (fractional)
Tb  0.5000  0.0000  0.0000
Tm  0.5000  0.5000  0.0000
Tm  0.8328  0.1657  0.6656
Tm  0.1672  0.8343  0.3344
Th  0.8351  0.6687  0.6703
Th  0.1649  0.3313  0.3297
Bi  0.3328  0.9252  0.6655
Bi  0.6644  0.5908  0.3287
Bi  0.6672  0.0748  0.3345
Bi  0.9963  0.2513  0.9926
Bi  0.0037  0.7487  0.0074
Bi  0.3356  0.4092  0.6713